Density functional theory data (PBE) for a relaxed structure of PNClF2.

Computed properties:
The space group is P4/mmm, No. 123. The calculation puts the energy relative to the elements, uncorrected at 0.0325 eV per atom. Its density of states at the Fermi level is 0.48 states/eV per atom.

Cell lengths 3.7890, 3.7890, 4.1632 Å; angles 90.00, 90.00, 90.00 degrees
Last column: nearest neighbours and their distance in Å.
Atoms (fractional coordinates):
P (0.0000, 0.0000, 0.0000)  4 F 1.89, 2 N 2.08
N (0.0000, 0.0000, 0.5000)  2 P 2.08
F (0.0000, 0.5000, 0.0000)  2 P 1.89
F (0.5000, 0.0000, 0.0000)  2 P 1.89
Cl (0.5000, 0.5000, 0.5000)  4 N 2.68, 8 F 2.81


Density functional theory data (PBE) for a relaxed structure of PN2ClF.

Computed properties:
The space group is P4/mmm, No. 123. The calculation puts the energy relative to the elements, uncorrected at 0.8637 eV per atom. Its density of states at the Fermi level is 0.54 states/eV per atom.

Cell lengths 3.5468, 3.5468, 3.8924 Å; angles 90.00, 90.00, 90.00 degrees
Last column: nearest neighbours and their distance in Å.
Atoms (fractional coordinates):
P (0.0000, 0.0000, 0.0000)  4 N 1.77, 2 F 1.95
N (0.0000, 0.5000, 0.0000)  2 P 1.77
N (0.5000, 0.0000, 0.0000)  2 P 1.77
F (0.0000, 0.0000, 0.5000)  2 P 1.95
Cl (0.5000, 0.5000, 0.5000)  4 F 2.51, 8 N 2.63


Density functional theory data (PBE) for a relaxed structure of PNClF2.

Computed properties:
The space group is P4/mmm, No. 123. The calculation puts the energy relative to the elements, uncorrected at 1.2505 eV per atom. Its density of states at the Fermi level is 0.75 states/eV per atom.

Cell lengths 4.1199, 4.1199, 4.2458 Å; angles 90.00, 90.00, 90.00 degrees
Last column: nearest neighbours and their distance in Å.
Atoms (fractional coordinates):
P (0.5000, 0.5000, 0.5000)  4 N 2.91, 8 F 2.96
N (0.0000, 0.0000, 0.5000)  2 Cl 2.12
F (0.0000, 0.5000, 0.0000)  2 Cl 2.06
F (0.5000, 0.0000, 0.0000)  2 Cl 2.06
Cl (0.0000, 0.0000, 0.0000)  4 F 2.06, 2 N 2.12


Density functional theory data (PBE) for a relaxed structure of PN2ClF.

Computed properties:
The space group is P4/mmm, No. 123. The calculation puts the energy relative to the elements, uncorrected at 2.0845 eV per atom. Its density of states at the Fermi level is 0.37 states/eV per atom.

Cell lengths 3.9541, 3.9541, 3.8843 Å; angles 90.00, 90.00, 90.00 degrees
Last column: nearest neighbours and their distance in Å.
Atoms (fractional coordinates):
P (0.5000, 0.5000, 0.5000)  8 N 2.77, 4 F 2.80
N (0.0000, 0.5000, 0.0000)  2 Cl 1.98
N (0.5000, 0.0000, 0.0000)  2 Cl 1.98
F (0.0000, 0.0000, 0.5000)  2 Cl 1.94
Cl (0.0000, 0.0000, 0.0000)  2 F 1.94, 4 N 1.98


Density functional theory data (PBE) for a relaxed structure of PaNClF.

Computed properties:
The space group is Cm, No. 8. The calculation puts the energy relative to the elements, uncorrected at -1.9718 eV per atom.

Cell lengths 3.3688, 3.6016, 7.7153 Å; angles 89.64, 102.61, 90.00 degrees
Last column: nearest neighbours and their distance in Å.
Atoms (fractional coordinates):
Pa (0.6079, 0.8964, 0.2159)  1 F 2.05, 2 N 2.18
N (0.0942, 0.2782, 0.1884)  2 Pa 2.18
Cl (0.2523, 0.7784, 0.5046)  2 Pa 2.78, 2 N 2.98-2.99
F (0.4759, 0.7655, 0.9518)  1 Pa 2.05


Density functional theory data (PBE) for a relaxed structure of PbN2ClF.

Computed properties:
The space group is P4/mmm, No. 123. The calculation puts the energy relative to the elements, uncorrected at 1.0471 eV per atom. Its density of states at the Fermi level is 0.88 states/eV per atom.

Cell lengths 4.5897, 4.5897, 4.3858 Å; angles 90.00, 90.00, 90.00 degrees
Last column: nearest neighbours and their distance in Å.
Atoms (fractional coordinates):
Pb (0.0000, 0.0000, 0.0000)  2 F 2.19, 4 N 2.29
N (0.0000, 0.5000, 0.0000)  2 Pb 2.29
N (0.5000, 0.0000, 0.0000)  2 Pb 2.29
F (0.0000, 0.0000, 0.5000)  2 Pb 2.19
Cl (0.5000, 0.5000, 0.5000)  8 N 3.17, 4 F 3.25


Density functional theory data (PBE) for a relaxed structure of PbNClF2.

Computed properties:
The space group is P4/mmm, No. 123. The calculation puts the energy relative to the elements, uncorrected at -0.1858 eV per atom. Its density of states at the Fermi level is 1.25 states/eV per atom.

Cell lengths 4.4266, 4.4266, 4.6864 Å; angles 90.00, 90.00, 90.00 degrees
Last column: nearest neighbours and their distance in Å.
Atoms (fractional coordinates):
Pb (0.0000, 0.0000, 0.0000)  4 F 2.21, 2 N 2.34
N (0.0000, 0.0000, 0.5000)  2 Pb 2.34
F (0.0000, 0.5000, 0.0000)  2 Pb 2.21
F (0.5000, 0.0000, 0.0000)  2 Pb 2.21
Cl (0.5000, 0.5000, 0.5000)  4 N 3.13, 8 F 3.22


Density functional theory data (PBE) for a relaxed structure of PbN2ClF.

Computed properties:
The space group is P4/mmm, No. 123. The calculation puts the energy relative to the elements, uncorrected at 1.1652 eV per atom. Its density of states at the Fermi level is 0.55 states/eV per atom.

Cell lengths 3.8312, 3.8312, 5.0786 Å; angles 90.00, 90.00, 90.00 degrees
Last column: nearest neighbours and their distance in Å.
Atoms (fractional coordinates):
Pb (0.5000, 0.5000, 0.5000)  4 F 2.71
N (0.0000, 0.5000, 0.0000)  2 Cl 1.92
N (0.5000, 0.0000, 0.0000)  2 Cl 1.92
F (0.0000, 0.0000, 0.5000)  2 Cl 2.54, 4 Pb 2.71
Cl (0.0000, 0.0000, 0.0000)  4 N 1.92


Density functional theory data (PBE) for a relaxed structure of PtN2ClF.

Computed properties:
The space group is P4/mmm, No. 123. The calculation puts the energy relative to the elements, uncorrected at 1.1107 eV per atom. Its density of states at the Fermi level is 0.70 states/eV per atom.

Cell lengths 3.9042, 3.9042, 4.3330 Å; angles 90.00, 90.00, 90.00 degrees
Last column: nearest neighbours and their distance in Å.
Atoms (fractional coordinates):
N (0.0000, 0.5000, 0.0000)  2 Pt 1.95
N (0.5000, 0.0000, 0.0000)  2 Pt 1.95
F (0.0000, 0.0000, 0.5000)  2 Pt 2.17
Pt (0.0000, 0.0000, 0.0000)  4 N 1.95, 2 F 2.17
Cl (0.5000, 0.5000, 0.5000)  4 F 2.76, 8 N 2.92


Density functional theory data (PBE) for a relaxed structure of PtN2ClF.

Computed properties:
The space group is P4/mmm, No. 123. The calculation puts the energy relative to the elements, uncorrected at 2.1876 eV per atom. Its density of states at the Fermi level is 0.54 states/eV per atom.

Cell lengths 4.0095, 3.7484, 4.0095 Å; angles 90.00, 90.00, 90.00 degrees
Last column: nearest neighbours and their distance in Å.
Atoms (fractional coordinates):
N (0.0000, 0.0000, 0.5000)  2 Cl 2.00
N (0.5000, 0.0000, 0.0000)  2 Cl 2.00
F (0.0000, 0.5000, 0.0000)  2 Cl 1.87
Pt (0.5000, 0.5000, 0.5000)  8 N 2.74, 4 F 2.84
Cl (0.0000, 0.0000, 0.0000)  2 F 1.87, 4 N 2.00


Density functional theory data (PBE) for a relaxed structure of RbN2ClF8.

Computed properties:
The space group is C2/m, No. 12. The calculation puts the energy relative to the elements, uncorrected at -0.7225 eV per atom. Its density of states at the Fermi level is 0.00 states/eV per atom.

Cell lengths 5.8804, 7.3142, 7.4663 Å; angles 50.77, 66.81, 66.30 degrees
Last column: nearest neighbours and their distance in Å.
Atoms (fractional coordinates):
Rb (0.5000, 0.5000, 0.5000)  6 F 2.79-3.10
N (0.2493, 0.2528, 0.2487)  2 F 1.39
N (0.7507, 0.7472, 0.7513)  2 F 1.39
Cl (0.0000, 0.0000, 0.0000)  4 F 1.83
F (0.8623, 0.5702, 0.7053)  1 N 1.39
F (0.6963, 0.6111, 0.9962)  1 N 1.39
F (0.1377, 0.4298, 0.2947)  1 N 1.39
F (0.3037, 0.3889, 0.0038)  1 N 1.39
F (0.7172, 0.9014, 0.2257)  1 Cl 1.83
F (0.2828, 0.0986, 0.7743)  1 Cl 1.83
F (0.1557, 0.9014, 0.2257)  1 Cl 1.83
F (0.8443, 0.0986, 0.7743)  1 Cl 1.83


Density functional theory data (PBE) for a relaxed structure of Rb2NCl6F.

Computed properties:
The space group is I4/mmm, No. 139. The calculation puts the energy relative to the elements, uncorrected at -0.3597 eV per atom. Its density of states at the Fermi level is 1.29 states/eV per atom.

Cell lengths 7.7068, 7.7068, 6.8790 Å; angles 55.93, 55.93, 90.00 degrees
Last column: nearest neighbours and their distance in Å.
Atoms (fractional coordinates):
N (0.5000, 0.5000, 0.0000)  6 Cl 2.14-2.26
F (0.0000, 0.0000, 0.0000)  2 Cl 2.06
Rb (0.7500, 0.2500, 0.5000)  12 Cl 3.47-3.85
Rb (0.2500, 0.7500, 0.5000)  12 Cl 3.47-3.85
Cl (0.2457, 0.2457, 0.5086)  1 F 2.06, 1 N 2.14
Cl (0.7543, 0.7543, 0.4914)  1 F 2.06, 1 N 2.14
Cl (0.2927, 0.2927, 0.0000)  1 N 2.26
Cl (0.7073, 0.7073, 0.0000)  1 N 2.26
Cl (0.7073, 0.2927, 0.0000)  1 N 2.26
Cl (0.2927, 0.7073, 0.0000)  1 N 2.26


Density functional theory data (PBE) for a relaxed structure of RhN2ClF.

Computed properties:
The space group is P4/mmm, No. 123. The calculation puts the energy relative to the elements, uncorrected at 2.1377 eV per atom. Its density of states at the Fermi level is 1.07 states/eV per atom.

Cell lengths 3.9776, 3.9776, 3.7665 Å; angles 90.00, 90.00, 90.00 degrees
Last column: nearest neighbours and their distance in Å.
Atoms (fractional coordinates):
N (0.0000, 0.5000, 0.0000)  2 Cl 1.99
N (0.5000, 0.0000, 0.0000)  2 Cl 1.99
F (0.0000, 0.0000, 0.5000)  2 Cl 1.88
Rh (0.5000, 0.5000, 0.5000)  8 N 2.74, 4 F 2.81
Cl (0.0000, 0.0000, 0.0000)  2 F 1.88, 4 N 1.99


Density functional theory data (PBE) for a relaxed structure of RhN2ClF.

Computed properties:
The space group is P4/mmm, No. 123. The calculation puts the energy relative to the elements, uncorrected at 0.9063 eV per atom. Its density of states at the Fermi level is 0.70 states/eV per atom.

Cell lengths 3.9071, 3.9071, 4.1312 Å; angles 90.00, 90.00, 90.00 degrees
Last column: nearest neighbours and their distance in Å.
Atoms (fractional coordinates):
N (0.0000, 0.5000, 0.0000)  2 Rh 1.95
N (0.5000, 0.0000, 0.0000)  2 Rh 1.95
F (0.0000, 0.0000, 0.5000)  2 Rh 2.07
Rh (0.0000, 0.0000, 0.0000)  4 N 1.95, 2 F 2.07
Cl (0.5000, 0.5000, 0.5000)  4 F 2.76, 8 N 2.84


Density functional theory data (PBE) for a relaxed structure of RhNClF2.

Computed properties:
The space group is P4/mmm, No. 123. The calculation puts the energy relative to the elements, uncorrected at 0.9800 eV per atom. Its density of states at the Fermi level is 1.16 states/eV per atom.

Cell lengths 4.8296, 4.8296, 3.2793 Å; angles 90.00, 90.00, 90.00 degrees
Last column: nearest neighbours and their distance in Å.
Atoms (fractional coordinates):
N (0.0000, 0.0000, 0.5000)  2 Cl 1.64
F (0.0000, 0.5000, 0.0000)  2 Cl 2.41
F (0.5000, 0.0000, 0.0000)  2 Cl 2.41
Rh (0.5000, 0.5000, 0.5000)  8 F 2.92
Cl (0.0000, 0.0000, 0.0000)  2 N 1.64


Density functional theory data (PBE) for a relaxed structure of RhNClF2.

Computed properties:
The space group is P4/mmm, No. 123. The calculation puts the energy relative to the elements, uncorrected at 0.0068 eV per atom. Its density of states at the Fermi level is 0.91 states/eV per atom.

Cell lengths 4.1454, 4.1454, 3.8084 Å; angles 90.00, 90.00, 90.00 degrees
Last column: nearest neighbours and their distance in Å.
Atoms (fractional coordinates):
N (0.0000, 0.0000, 0.5000)  2 Rh 1.90
F (0.0000, 0.5000, 0.0000)  2 Rh 2.07
F (0.5000, 0.0000, 0.0000)  2 Rh 2.07
Rh (0.0000, 0.0000, 0.0000)  2 N 1.90, 4 F 2.07
Cl (0.5000, 0.5000, 0.5000)  8 F 2.81, 4 N 2.93


Density functional theory data (PBE) for a relaxed structure of RuNClF2.

Computed properties:
The space group is P4/mmm, No. 123. The calculation puts the energy relative to the elements, uncorrected at -0.1791 eV per atom. Its density of states at the Fermi level is 0.72 states/eV per atom.

Cell lengths 4.0972, 4.0972, 3.8084 Å; angles 90.00, 90.00, 90.00 degrees
Last column: nearest neighbours and their distance in Å.
Atoms (fractional coordinates):
Ru (0.0000, 0.0000, 0.0000)  2 N 1.90, 4 F 2.05
N (0.0000, 0.0000, 0.5000)  2 Ru 1.90
F (0.0000, 0.5000, 0.0000)  2 Ru 2.05
F (0.5000, 0.0000, 0.0000)  2 Ru 2.05
Cl (0.5000, 0.5000, 0.5000)  8 F 2.80, 4 N 2.90


Density functional theory data (PBE) for a relaxed structure of RuNClF2.

Computed properties:
The space group is P4/mmm, No. 123. The calculation puts the energy relative to the elements, uncorrected at 1.0630 eV per atom. Its density of states at the Fermi level is 0.81 states/eV per atom.

Cell lengths 4.8045, 4.8045, 3.2352 Å; angles 90.00, 90.00, 90.00 degrees
Last column: nearest neighbours and their distance in Å.
Atoms (fractional coordinates):
Ru (0.5000, 0.5000, 0.5000)  8 F 2.90, 2 Ru 3.24
N (0.0000, 0.0000, 0.5000)  2 Cl 1.62
F (0.0000, 0.5000, 0.0000)  2 Cl 2.40
F (0.5000, 0.0000, 0.0000)  2 Cl 2.40
Cl (0.0000, 0.0000, 0.0000)  2 N 1.62


Density functional theory data (PBE) for a relaxed structure of RuN2ClF.

Computed properties:
The space group is P4/mmm, No. 123. The calculation puts the energy relative to the elements, uncorrected at 0.6145 eV per atom. Its density of states at the Fermi level is 0.50 states/eV per atom.

Cell lengths 3.8819, 3.8819, 4.0974 Å; angles 90.00, 90.00, 90.00 degrees
Last column: nearest neighbours and their distance in Å.
Atoms (fractional coordinates):
Ru (0.0000, 0.0000, 0.0000)  4 N 1.94, 2 F 2.05
N (0.0000, 0.5000, 0.0000)  2 Ru 1.94
N (0.5000, 0.0000, 0.0000)  2 Ru 1.94
F (0.0000, 0.0000, 0.5000)  2 Ru 2.05
Cl (0.5000, 0.5000, 0.5000)  4 F 2.74, 8 N 2.82


Density functional theory data (PBE) for a relaxed structure of RuN2ClF.

Computed properties:
The space group is P4/mmm, No. 123. The calculation puts the energy relative to the elements, uncorrected at 2.2021 eV per atom. Its density of states at the Fermi level is 0.75 states/eV per atom.

Cell lengths 3.9415, 3.9415, 3.9740 Å; angles 90.00, 90.00, 90.00 degrees
Last column: nearest neighbours and their distance in Å.
Atoms (fractional coordinates):
Ru (0.5000, 0.5000, 0.5000)  4 F 2.79, 8 N 2.80
N (0.0000, 0.5000, 0.0000)  2 Cl 1.97
N (0.5000, 0.0000, 0.0000)  2 Cl 1.97
F (0.0000, 0.0000, 0.5000)  2 Cl 1.99
Cl (0.0000, 0.0000, 0.0000)  4 N 1.97, 2 F 1.99


no.,total magnetic moment (μB per formula unit)
1,0.0
2,0.0
3,0.8
4,0.0
5,0.0
6,4.0
7,1.5
8,1.2
9,1.0
10,0.0
11,1.9
12,0.5
13,0.5
14,1.1
15,2.3
16,0.4
17,0.0
18,3.5
19,1.2
20,3.4